DFT (PBE with a Hubbard U) results for an optimized crystal structure of CrInN2F.

## Properties
* volume: 76.36 Å³ per cell
* energy above the most stable polymorph in this dataset: 606.6 meV per atom
* theoretical density: 4650 kg/m3
* space-group type: No. 123
* E: -5.183 eV/atom

Cell and atoms, written as extended XYZ:
```
5
Lattice="4.253 0.000 0.000 0.000 4.253 0.000 0.000 0.000 4.221" Properties=species:S:1:pos:R:3 pbc="T T T"
N 0.000 2.127 0.000
N 2.127 0.000 0.000
F 0.000 0.000 2.111
In 0.000 0.000 0.000
Cr 2.127 2.127 2.111
```